No. 1
# Tb2CeSm, optimized geometry, DFT GGA-PBE
data_Tb2CeSm
_cell_length_a 3.431
_cell_length_b 3.431
_cell_length_c 12.566
_cell_angle_alpha 82.15
_cell_angle_beta 82.15
_cell_angle_gamma 60.00
_symmetry_space_group_name_H-M 'P 1'
_symmetry_Int_Tables_number 1
loop_
_symmetry_equiv_pos_as_xyz
'x,y,z'
loop_
_atom_site_label
_atom_site_fract_x
_atom_site_fract_y
_atom_site_fract_z
Tb1 0.088 0.088 0.736
Tb2 0.912 0.912 0.264
Ce1 0.000 0.000 0.000
Sm1 0.500 0.500 0.500
# uncorrected energy: -4.791 eV/atom


No. 2
# Tb5CeSm8, optimized geometry, DFT GGA-PBE
data_Tb5CeSm8
_cell_length_a 8.508
_cell_length_b 8.507
_cell_length_c 8.508
_cell_angle_alpha 111.78
_cell_angle_beta 104.95
_cell_angle_gamma 111.78
_symmetry_space_group_name_H-M 'P 1'
_symmetry_Int_Tables_number 1
loop_
_symmetry_equiv_pos_as_xyz
'x,y,z'
loop_
_atom_site_label
_atom_site_fract_x
_atom_site_fract_y
_atom_site_fract_z
Tb1 0.037 0.317 0.135
Tb2 0.865 0.902 0.182
Tb3 0.818 0.683 0.720
Tb4 0.500 0.000 0.500
Tb5 0.280 0.098 0.963
Ce1 0.250 0.500 0.750
Sm1 0.171 0.733 0.068
Sm2 0.932 0.104 0.666
Sm3 0.720 0.252 0.325
Sm4 0.675 0.395 0.927
Sm5 0.532 0.605 0.280
Sm6 0.562 0.896 0.829
Sm7 0.334 0.267 0.438
Sm8 0.073 0.748 0.468
# uncorrected energy: -4.517 eV/atom


No. 3
# Tb9CeSm2, optimized geometry, DFT GGA-PBE
data_Tb9CeSm2
_cell_length_a 5.046
_cell_length_b 5.046
_cell_length_c 15.133
_cell_angle_alpha 90.00
_cell_angle_beta 90.00
_cell_angle_gamma 90.00
_symmetry_space_group_name_H-M 'P 1'
_symmetry_Int_Tables_number 1
loop_
_symmetry_equiv_pos_as_xyz
'x,y,z'
loop_
_atom_site_label
_atom_site_fract_x
_atom_site_fract_y
_atom_site_fract_z
Tb1 0.500 0.500 0.000
Tb2 0.500 0.500 0.334
Tb3 0.500 0.500 0.666
Tb4 0.500 0.000 0.164
Tb5 0.500 0.000 0.500
Tb6 0.500 0.000 0.836
Tb7 0.000 0.500 0.164
Tb8 0.000 0.500 0.500
Tb9 0.000 0.500 0.836
Ce1 0.000 0.000 0.000
Sm1 0.000 0.000 0.332
Sm2 0.000 0.000 0.668
# uncorrected energy: -4.720 eV/atom


No. 4
# Tb12CeSm3, optimized geometry, DFT GGA-PBE
data_Tb12CeSm3
_cell_length_a 5.051
_cell_length_b 5.051
_cell_length_c 20.188
_cell_angle_alpha 90.00
_cell_angle_beta 90.00
_cell_angle_gamma 90.00
_symmetry_space_group_name_H-M 'P 1'
_symmetry_Int_Tables_number 1
loop_
_symmetry_equiv_pos_as_xyz
'x,y,z'
loop_
_atom_site_label
_atom_site_fract_x
_atom_site_fract_y
_atom_site_fract_z
Tb1 0.500 0.500 0.000
Tb2 0.500 0.500 0.250
Tb3 0.500 0.500 0.500
Tb4 0.500 0.500 0.750
Tb5 0.500 0.000 0.123
Tb6 0.500 0.000 0.374
Tb7 0.500 0.000 0.626
Tb8 0.500 0.000 0.877
Tb9 0.000 0.500 0.123
Tb10 0.000 0.500 0.374
Tb11 0.000 0.500 0.626
Tb12 0.000 0.500 0.877
Ce1 0.000 0.000 0.000
Sm1 0.000 0.000 0.248
Sm2 0.000 0.000 0.500
Sm3 0.000 0.000 0.752
# uncorrected energy: -4.700 eV/atom


No. 5
# Tb3CeSm, optimized geometry, DFT GGA-PBE
data_Tb3CeSm
_cell_length_a 11.038
_cell_length_b 7.026
_cell_length_c 8.783
_cell_angle_alpha 78.13
_cell_angle_beta 90.00
_cell_angle_gamma 90.00
_symmetry_space_group_name_H-M 'P 1'
_symmetry_Int_Tables_number 1
loop_
_symmetry_equiv_pos_as_xyz
'x,y,z'
loop_
_atom_site_label
_atom_site_fract_x
_atom_site_fract_y
_atom_site_fract_z
Tb1 0.504 0.746 0.002
Tb2 0.059 0.914 0.350
Tb3 0.496 0.254 0.998
Tb4 0.941 0.086 0.650
Tb5 0.004 0.254 0.998
Tb6 0.559 0.086 0.650
Tb7 0.996 0.746 0.002
Tb8 0.441 0.914 0.350
Tb9 0.560 0.585 0.654
Tb10 0.060 0.415 0.346
Tb11 0.440 0.415 0.346
Tb12 0.940 0.585 0.654
Ce1 0.750 0.510 0.941
Ce2 0.750 0.178 0.308
Ce3 0.250 0.490 0.059
Ce4 0.250 0.822 0.692
Sm1 0.250 0.976 0.052
Sm2 0.750 0.024 0.948
Sm3 0.250 0.324 0.694
Sm4 0.750 0.676 0.306
# uncorrected energy: -4.668 eV/atom


No. 6
# TbCeSmTc, optimized geometry, DFT GGA-PBE
data_TbCeSmTc
_cell_length_a 4.415
_cell_length_b 4.415
_cell_length_c 7.288
_cell_angle_alpha 89.99
_cell_angle_beta 107.63
_cell_angle_gamma 120.00
_symmetry_space_group_name_H-M 'P 1'
_symmetry_Int_Tables_number 1
loop_
_symmetry_equiv_pos_as_xyz
'x,y,z'
loop_
_atom_site_label
_atom_site_fract_x
_atom_site_fract_y
_atom_site_fract_z
Tb1 0.959 0.844 0.803
Ce1 0.837 0.283 0.120
Sm1 0.378 0.054 0.432
Tc1 0.518 0.624 0.141
# uncorrected energy: -6.269 eV/atom


No. 7
# TbCe3Sm2Te6, optimized geometry, DFT GGA-PBE
data_TbCe3Sm2Te6
_cell_length_a 7.681
_cell_length_b 7.681
_cell_length_c 7.784
_cell_angle_alpha 99.46
_cell_angle_beta 99.46
_cell_angle_gamma 120.08
_symmetry_space_group_name_H-M 'P 1'
_symmetry_Int_Tables_number 1
loop_
_symmetry_equiv_pos_as_xyz
'x,y,z'
loop_
_atom_site_label
_atom_site_fract_x
_atom_site_fract_y
_atom_site_fract_z
Tb1 0.000 0.000 0.000
Ce1 0.169 0.831 0.500
Ce2 0.831 0.169 0.500
Ce3 0.500 0.500 0.500
Sm1 0.334 0.666 0.000
Sm2 0.666 0.334 0.000
Te1 0.919 0.589 0.757
Te2 0.753 0.753 0.246
Te3 0.081 0.411 0.243
Te4 0.589 0.919 0.757
Te5 0.247 0.247 0.754
Te6 0.411 0.081 0.243
# ΔE_f (raw): -1373 meV per atom
# uncorrected energy: -5.600 eV/atom


No. 8
# Tb3CeSm2Te6, optimized geometry, DFT GGA-PBE
data_Tb3CeSm2Te6
_cell_length_a 4.387
_cell_length_b 8.900
_cell_length_c 9.886
_cell_angle_alpha 103.40
_cell_angle_beta 102.82
_cell_angle_gamma 90.00
_symmetry_space_group_name_H-M 'P 1'
_symmetry_Int_Tables_number 1
loop_
_symmetry_equiv_pos_as_xyz
'x,y,z'
loop_
_atom_site_label
_atom_site_fract_x
_atom_site_fract_y
_atom_site_fract_z
Tb1 0.500 0.500 0.000
Tb2 0.833 0.166 0.666
Tb3 0.167 0.834 0.334
Ce1 0.500 0.000 0.000
Sm1 0.834 0.669 0.669
Sm2 0.166 0.331 0.331
Te1 0.331 0.920 0.662
Te2 0.666 0.586 0.332
Te3 0.669 0.080 0.338
Te4 0.998 0.256 0.996
Te5 0.002 0.744 0.004
Te6 0.334 0.414 0.668
# ΔE_f (raw): -1349 meV per atom
# uncorrected energy: -5.358 eV/atom